A plane-wave DFT calculation with PBE was carried out for a relaxed structure of ThPa2Ge.

Values from the calculation:
- Energy relative to the lowest polymorph listed for this composition: 0 meV/atom
- Mass density: 13.1 g/cm3
- Energy of formation: -0.201 eV per atom
- Energy: -7.958 eV per atom
- SG: P4/mmm (123)

Cell lengths 4.4656, 4.4656, 4.8814 Å; angles 90.00, 90.00, 90.00 degrees
Closest atoms and distances in Å follow each position.
Fractional positions:
Th  0.0000  0.0000  0.0000  4 Ge 3.16, 8 Pa 3.31
Pa  0.0000  0.5000  0.5000  4 Pa 3.16, 4 Ge 3.31, 4 Th 3.31
Pa  0.5000  0.0000  0.5000  4 Pa 3.16, 4 Ge 3.31, 4 Th 3.31
Ge  0.5000  0.5000  0.0000  4 Th 3.16, 8 Pa 3.31